Crystalline KTcPt2 at its relaxed geometry. Source: the Alexandria database, functional PBE.

Cell lengths 2.796, 2.796, 9.557 Å; angles 90.00, 90.00, 90.00 degrees
Positions (direct):
K1 0.000 0.000 0.000
Tc1 0.500 0.500 0.681
Pt1 0.000 0.000 0.489
Pt2 0.500 0.500 0.273

## Properties
DFT formation energy = 0.395 eV per atom
Volume = 74.71 Å³/cell
Final energy = -5.491 eV per atom
Polymorph energy (0 for the lowest one) = 0.3132 eV per atom

=====

Crystalline TbPr5Mg5 at its relaxed geometry. Source: the Alexandria database, functional PBE.

Cell lengths 9.661, 9.661, 6.809 Å; angles 110.55, 110.55, 35.78 degrees
Positions (direct):
Tb1 0.000 0.000 0.000
Pr1 0.000 0.000 0.500
Pr2 0.315 0.315 0.815
Pr3 0.367 0.367 0.366
Pr4 0.633 0.633 0.634
Pr5 0.685 0.685 0.185
Mg1 0.167 0.167 0.399
Mg2 0.167 0.167 0.935
Mg3 0.500 0.500 0.000
Mg4 0.833 0.833 0.065
Mg5 0.833 0.833 0.601

## Properties
DFT formation energy = 0.124 eV per atom
Volume = 345.42 Å³/cell
Final energy = -3.194 eV per atom

=====

Crystalline ZnIn2Te2 at its relaxed geometry. Source: the Alexandria database, functional PBE.

Cell lengths 8.413, 8.413, 4.051 Å; angles 90.00, 90.00, 90.00 degrees
Positions (direct):
Zn1 0.000 0.000 0.000
Zn2 0.500 0.500 0.000
In1 0.149 0.351 0.000
In2 0.351 0.851 0.000
In3 0.649 0.149 0.000
In4 0.851 0.649 0.000
Te1 0.156 0.656 0.500
Te2 0.344 0.156 0.500
Te3 0.656 0.844 0.500
Te4 0.844 0.344 0.500

## Properties
Volume = 286.75 Å³/cell
Final energy = -2.617 eV per atom
Polymorph energy (0 for the lowest one) = 0.0044 eV per atom
ΔE_f (raw) = -1.0 kJ per mole of atoms

=====

Crystalline AlNi2Rh at its relaxed geometry. Source: the Alexandria database, functional PBE.

Cell lengths 4.373, 4.373, 4.373 Å; angles 128.58, 128.58, 75.68 degrees
Positions (direct):
Al1 0.000 0.000 0.000
Ni1 0.500 0.500 0.000
Ni2 0.750 0.250 0.500
Rh1 0.250 0.750 0.500

## Properties
DFT formation energy = -0.435 eV per atom
Volume = 49.69 Å³/cell
Final energy = -6.099 eV per atom

=====

Crystalline Mg3CdHg7 at its relaxed geometry. Source: the Alexandria database, functional PBE.

Cell lengths 7.603, 7.603, 5.493 Å; angles 111.12, 111.12, 91.82 degrees
Positions (direct):
Mg1 0.000 0.000 0.000
Mg2 0.232 0.768 0.500
Mg3 0.768 0.232 0.500
Cd1 0.500 0.500 0.000
Hg1 0.054 0.600 0.826
Hg2 0.176 0.176 0.683
Hg3 0.400 0.946 0.174
Hg4 0.500 0.500 0.500
Hg5 0.600 0.054 0.826
Hg6 0.824 0.824 0.317
Hg7 0.946 0.400 0.174

## Properties
DFT formation energy = -0.065 eV per atom
Volume = 271.47 Å³/cell
Final energy = -0.776 eV per atom

=====

Crystalline YTmMgRh at its relaxed geometry. Source: the Alexandria database, functional PBE.

Cell lengths 5.025, 5.025, 5.025 Å; angles 60.00, 60.00, 60.00 degrees
Positions (direct):
Y1 0.000 0.000 0.000
Tm1 0.500 0.500 0.500
Mg1 0.750 0.750 0.750
Rh1 0.250 0.250 0.250

## Properties
DFT formation energy = -0.430 eV per atom
Volume = 89.71 Å³/cell
Final energy = -5.401 eV per atom

=====

Crystalline SrSm2Ru at its relaxed geometry. Source: the Alexandria database, functional PBE.

Cell lengths 11.111, 11.111, 11.111 Å; angles 20.78, 20.78, 20.78 degrees
Positions (direct):
Sr1 0.000 0.000 0.000
Sm1 0.119 0.119 0.119
Sm2 0.881 0.881 0.881
Ru1 0.500 0.500 0.500

## Properties
DFT formation energy = 0.047 eV per atom
Volume = 151.21 Å³/cell
Final energy = -5.052 eV per atom
Polymorph energy (0 for the lowest one) = 0.1397 eV per atom

=====

Crystalline CaZrCl2 at its relaxed geometry. Source: the Alexandria database, functional PBE.

Cell lengths 4.796, 4.796, 4.796 Å; angles 60.00, 60.00, 60.00 degrees
Positions (direct):
Ca1 0.000 0.000 0.000
Zr1 0.500 0.500 0.500
Cl1 0.250 0.250 0.250
Cl2 0.750 0.750 0.750

## Properties
Volume = 78.01 Å³/cell
Final energy = -4.253 eV per atom
Polymorph energy (0 for the lowest one) = 0.4812 eV per atom
ΔE_f (raw) = -66.8 kJ per mole of atoms

=====

Crystalline LaGePd2Au at its relaxed geometry. Source: the Alexandria database, functional PBE.

Cell lengths 5.038, 5.038, 5.432 Å; angles 90.00, 90.00, 90.00 degrees
Positions (direct):
La1 0.000 0.000 0.000
Ge1 0.500 0.500 0.000
Pd1 0.000 0.500 0.500
Pd2 0.500 0.000 0.500
Au1 0.000 0.000 0.500

## Properties
DFT formation energy = 0.357 eV per atom
Volume = 137.85 Å³/cell
Final energy = -4.285 eV per atom

=====

Crystalline HfTlIO6 at its relaxed geometry. Source: the Alexandria database, functional PBE.

Cell lengths 5.439, 5.439, 6.220 Å; angles 90.00, 90.00, 120.00 degrees
Positions (direct):
Hf1 0.000 0.000 0.000
Tl1 0.667 0.333 0.500
I1 0.333 0.667 0.000
O1 0.067 0.359 0.176
O2 0.067 0.708 0.824
O3 0.292 0.359 0.824
O4 0.292 0.933 0.176
O5 0.641 0.708 0.176
O6 0.641 0.933 0.824

## Properties
Volume = 159.36 Å³/cell
Final energy = -6.269 eV per atom
ΔE_f (raw) = -137.2 kJ per mole of atoms

=====

Crystalline SmMg3Hg4 at its relaxed geometry. Source: the Alexandria database, functional PBE.

Cell lengths 4.915, 4.915, 7.528 Å; angles 90.00, 90.00, 90.00 degrees
Positions (direct):
Sm1 0.000 0.000 0.000
Mg1 0.000 0.000 0.500
Mg2 0.500 0.500 0.000
Mg3 0.500 0.500 0.500
Hg1 0.000 0.500 0.266
Hg2 0.000 0.500 0.734
Hg3 0.500 0.000 0.266
Hg4 0.500 0.000 0.734

## Properties
DFT formation energy = -0.331 eV per atom
Volume = 181.87 Å³/cell
Final energy = -1.669 eV per atom

=====

Crystalline Ta2Ti4Mo at its relaxed geometry. Source: the Alexandria database, functional PBE.

Cell lengths 7.353, 7.353, 7.353 Å; angles 143.43, 143.43, 52.68 degrees
Positions (direct):
Ta1 0.120 0.120 0.000
Ta2 0.880 0.880 0.000
Ti1 0.000 0.500 0.500
Ti2 0.309 0.309 0.000
Ti3 0.500 0.000 0.500
Ti4 0.691 0.691 0.000
Mo1 0.500 0.500 0.000

## Properties
DFT formation energy = 0.948 eV per atom
Volume = 140.28 Å³/cell
Final energy = -8.497 eV per atom
Polymorph energy (0 for the lowest one) = 0.9551 eV per atom

=====

Crystalline ZnPt2Rh at its relaxed geometry. Source: the Alexandria database, functional PBE.

Cell lengths 4.780, 4.780, 4.747 Å; angles 100.36, 100.36, 33.84 degrees
Positions (direct):
Zn1 0.000 0.000 0.000
Pt1 0.253 0.253 0.763
Pt2 0.497 0.497 0.493
Rh1 0.744 0.744 0.257

## Properties
DFT formation energy = -0.268 eV per atom
Volume = 59.32 Å³/cell
Final energy = -5.445 eV per atom

=====

Crystalline Sc2AgP at its relaxed geometry. Source: the Alexandria database, functional PBE.

Cell lengths 7.202, 7.202, 7.202 Å; angles 31.33, 31.33, 31.33 degrees
Positions (direct):
Sc1 0.000 0.000 0.000
Sc2 0.203 0.203 0.203
Ag1 0.751 0.751 0.751
P1 0.475 0.475 0.475

## Properties
DFT formation energy = -0.218 eV per atom
Volume = 89.66 Å³/cell
Final energy = -5.449 eV per atom
Polymorph energy (0 for the lowest one) = 0.5362 eV per atom

=====

Crystalline LiTa2Al at its relaxed geometry. Source: the Alexandria database, functional PBE.

Cell lengths 3.977, 3.977, 4.152 Å; angles 90.00, 90.00, 90.00 degrees
Positions (direct):
Li1 0.000 0.000 0.000
Ta1 0.000 0.500 0.500
Ta2 0.500 0.000 0.500
Al1 0.500 0.500 0.000

## Properties
DFT formation energy = 0.112 eV per atom
Volume = 65.67 Å³/cell
Final energy = -7.229 eV per atom
Polymorph energy (0 for the lowest one) = 0.0800 eV per atom

=====

Crystalline Co2TcRh2 at its relaxed geometry. Source: the Alexandria database, functional PBE.

Cell lengths 6.972, 6.972, 2.720 Å; angles 90.00, 90.00, 90.00 degrees
Positions (direct):
Co1 0.121 0.379 0.000
Co2 0.379 0.879 0.000
Co3 0.621 0.121 0.000
Co4 0.879 0.621 0.000
Tc1 0.000 0.000 0.000
Tc2 0.500 0.500 0.000
Rh1 0.176 0.676 0.500
Rh2 0.324 0.176 0.500
Rh3 0.676 0.824 0.500
Rh4 0.824 0.324 0.500

## Properties
DFT formation energy = 0.215 eV per atom
Volume = 132.22 Å³/cell
Final energy = -7.641 eV per atom
Polymorph energy (0 for the lowest one) = 0.0000 eV per atom

=====

Crystalline EuAg2 at its relaxed geometry. Source: the Alexandria database, functional PBE.

Cell lengths 6.084, 6.084, 6.084 Å; angles 133.38, 104.07, 94.02 degrees
Positions (direct):
Eu1 0.292 0.042 0.250
Eu2 0.708 0.958 0.750
Ag1 0.114 0.663 0.451
Ag2 0.287 0.337 0.951
Ag3 0.713 0.663 0.049
Ag4 0.886 0.337 0.549

## Properties
DFT formation energy = -0.295 eV per atom
Volume = 149.52 Å³/cell
Final energy = -5.620 eV per atom

=====

Crystalline HoIn7Hg12 at its relaxed geometry. Source: the Alexandria database, functional PBE.

Cell lengths 8.492, 8.492, 8.492 Å; angles 105.43, 105.43, 105.43 degrees
Positions (direct):
Ho1 0.000 0.000 0.000
In1 0.049 0.683 0.143
In2 0.143 0.049 0.683
In3 0.317 0.857 0.951
In4 0.500 0.500 0.500
In5 0.683 0.143 0.049
In6 0.857 0.951 0.317
In7 0.951 0.317 0.857
Hg1 0.083 0.371 0.284
Hg2 0.209 0.444 0.688
Hg3 0.284 0.083 0.371
Hg4 0.312 0.791 0.556
Hg5 0.371 0.284 0.083
Hg6 0.444 0.688 0.209
Hg7 0.556 0.312 0.791
Hg8 0.629 0.716 0.917
Hg9 0.688 0.209 0.444
Hg10 0.716 0.917 0.629
Hg11 0.791 0.556 0.312
Hg12 0.917 0.629 0.716

## Properties
DFT formation energy = -0.030 eV per atom
Volume = 530.42 Å³/cell
Final energy = -1.398 eV per atom

=====

Crystalline YMn2Re at its relaxed geometry. Source: the Alexandria database, functional PBE.

Cell lengths 4.505, 4.505, 4.505 Å; angles 60.00, 60.00, 60.00 degrees
Positions (direct):
Y1 0.000 0.000 0.000
Mn1 0.250 0.250 0.250
Mn2 0.500 0.500 0.500
Re1 0.750 0.750 0.750

## Properties
DFT formation energy = 0.494 eV per atom
Volume = 64.64 Å³/cell
Final energy = -8.819 eV per atom
Polymorph energy (0 for the lowest one) = 0.3402 eV per atom

=====

Crystalline HfAgBi2O at its relaxed geometry. Source: the Alexandria database, functional PBE.

Cell lengths 5.632, 5.632, 3.860 Å; angles 90.00, 90.00, 90.00 degrees
Positions (direct):
Hf1 0.000 0.000 0.000
Ag1 0.500 0.500 0.500
Bi1 0.000 0.500 0.500
Bi2 0.500 0.000 0.500
O1 0.500 0.500 0.000

## Properties
Volume = 122.44 Å³/cell
Final energy = -4.650 eV per atom
ΔE_f (raw) = 43.9 kJ per mole of atoms

=====

Crystalline CaOsCl2 at its relaxed geometry. Source: the Alexandria database, functional PBE.

Cell lengths 8.647, 8.647, 8.647 Å; angles 22.09, 22.09, 22.09 degrees
Positions (direct):
Ca1 0.000 0.000 0.000
Os1 0.500 0.500 0.500
Cl1 0.408 0.408 0.408
Cl2 0.592 0.592 0.592

## Properties
Volume = 80.13 Å³/cell
Final energy = -4.329 eV per atom
Polymorph energy (0 for the lowest one) = 0.3124 eV per atom
ΔE_f (raw) = -9.5 kJ per mole of atoms

=====

Crystalline Sr6Si2Hg at its relaxed geometry. Source: the Alexandria database, functional PBE.

Cell lengths 9.491, 9.491, 9.491 Å; angles 111.90, 110.46, 106.11 degrees
Positions (direct):
Sr1 0.011 0.822 0.188
Sr2 0.237 0.536 0.299
Sr3 0.237 0.938 0.701
Sr4 0.281 0.319 0.600
Sr5 0.281 0.681 0.962
Sr6 0.366 0.178 0.188
Sr7 0.634 0.822 0.812
Sr8 0.719 0.319 0.038
Sr9 0.719 0.681 0.400
Sr10 0.763 0.062 0.299
Sr11 0.763 0.464 0.701
Sr12 0.989 0.178 0.812
Si1 0.000 0.128 0.128
Si2 0.000 0.872 0.872
Si3 0.393 0.393 0.000
Si4 0.607 0.607 0.000
Hg1 0.000 0.500 0.500
Hg2 0.500 0.000 0.500

## Properties
Volume = 656.30 Å³/cell
Final energy = -2.673 eV per atom
ΔE_f (raw) = -30.2 kJ per mole of atoms

=====

Crystalline Tl2P2Se5 at its relaxed geometry. Source: the Alexandria database, functional PBE.

Cell lengths 7.101, 7.101, 7.660 Å; angles 101.26, 101.26, 43.30 degrees
Positions (direct):
Tl1 0.091 0.091 0.340
Tl2 0.909 0.909 0.660
P1 0.335 0.335 0.110
P2 0.665 0.665 0.890
Se1 0.164 0.164 0.957
Se2 0.343 0.343 0.399
Se3 0.500 0.500 0.000
Se4 0.657 0.657 0.601
Se5 0.836 0.836 0.043

## Properties
Volume = 258.99 Å³/cell
Final energy = -3.750 eV per atom
ΔE_f (raw) = -8.3 kJ per mole of atoms

=====

Crystalline BeTePt at its relaxed geometry. Source: the Alexandria database, functional PBE.

Cell lengths 5.734, 3.026, 12.898 Å; angles 90.00, 90.00, 90.00 degrees
Positions (direct):
Be1 0.139 0.250 0.007
Be2 0.361 0.750 0.507
Be3 0.639 0.250 0.493
Be4 0.861 0.750 0.993
Te1 0.089 0.750 0.355
Te2 0.411 0.250 0.855
Te3 0.589 0.750 0.145
Te4 0.911 0.250 0.645
Pt1 0.105 0.750 0.135
Pt2 0.395 0.250 0.635
Pt3 0.605 0.750 0.365
Pt4 0.895 0.250 0.865

## Properties
Volume = 223.77 Å³/cell
Final energy = -4.552 eV per atom
ΔE_f (raw) = -24.0 kJ per mole of atoms

=====

Crystalline CaNi6B3 at its relaxed geometry. Source: the Alexandria database, functional PBE.

Cell lengths 5.772, 5.772, 5.772 Å; angles 51.28, 51.28, 51.28 degrees
Positions (direct):
Ca1 0.000 0.000 0.000
Ni1 0.124 0.583 0.662
Ni2 0.427 0.931 0.435
Ni3 0.435 0.427 0.931
Ni4 0.583 0.662 0.124
Ni5 0.662 0.124 0.583
Ni6 0.931 0.435 0.427
B1 0.169 0.169 0.169
B2 0.362 0.362 0.362
B3 0.696 0.696 0.696

## Properties
DFT formation energy = -0.182 eV per atom
Volume = 108.05 Å³/cell
Final energy = -5.855 eV per atom